The following is a PBE calculation of K3H3Pd2 after structural relaxation, from Alexandria via LeMat-Bulk.

a b c (Å): 6.166 6.166 15.847
angles (deg): 90.00 90.00 148.20
Sites, in units of the cell vectors:
K 0.062 0.938 0.615
K 0.062 0.938 0.885
K 0.294 0.706 0.750
K 0.706 0.294 0.250
K 0.938 0.062 0.115
K 0.938 0.062 0.385
H 0.336 0.664 0.581
H 0.336 0.664 0.919
H 0.403 0.597 0.250
H 0.597 0.403 0.750
H 0.664 0.336 0.081
H 0.664 0.336 0.419
Pd 0.197 0.803 0.058
Pd 0.197 0.803 0.442
Pd 0.803 0.197 0.558
Pd 0.803 0.197 0.942

Output
Magnetic moment ... 0.0 μB per formula unit
Electronic total energy ... -3.126 eV per atom
Symmetry ... No. 63

The following is a PBE calculation of KH2Pd3 after structural relaxation, from Alexandria via LeMat-Bulk.

a b c (Å): 7.358 7.358 8.314
angles (deg): 105.22 105.22 23.70
Sites, in units of the cell vectors:
K 0.127 0.127 0.016
K 0.873 0.873 0.984
H 0.203 0.203 0.739
H 0.479 0.479 0.265
H 0.521 0.521 0.735
H 0.797 0.797 0.261
Pd 0.039 0.039 0.356
Pd 0.298 0.298 0.639
Pd 0.367 0.367 0.345
Pd 0.633 0.633 0.655
Pd 0.702 0.702 0.361
Pd 0.961 0.961 0.644

Output
Magnetic moment ... 0.0 μB per formula unit
Electronic total energy ... -4.005 eV per atom
Symmetry ... No. 12

The following is a PBE calculation of KH8Pd4 after structural relaxation, from Alexandria via LeMat-Bulk.

a b c (Å): 5.872 5.872 5.872
angles (deg): 60.00 60.00 60.00
Sites, in units of the cell vectors:
K 0.000 0.000 0.000
H 0.398 0.398 0.398
H 0.398 0.398 0.805
H 0.398 0.805 0.398
H 0.483 0.839 0.839
H 0.805 0.398 0.398
H 0.839 0.483 0.839
H 0.839 0.839 0.483
H 0.839 0.839 0.839
Pd 0.129 0.624 0.624
Pd 0.624 0.129 0.624
Pd 0.624 0.624 0.129
Pd 0.624 0.624 0.624

Output
Energy above the most stable polymorph in this dataset ... 0.074 eV/atom
Magnetic moment ... 0.0 μB per formula unit
Symmetry ... No. 216